Density functional theory data (GGA+U) for crystalline La2WO6 at its relaxed geometry.

Properties
For the total moment, the calculation gives 0.00 μB/cell. For the total energy, the calculation gives -8.049 eV per atom. The symmetry is R-3 (148). For the volume, the calculation gives 15.92 A^3/atom.

Unit cell a=5.7407 b=5.7407 c=5.7407 alpha=63.19 beta=63.19 gamma=63.19
Positions (direct):
La: 0.2404 0.2404 0.2404
La: 0.7596 0.7596 0.7596
W: 0.0000 0.0000 0.0000
O: 0.1045 0.8110 0.3345
O: 0.1890 0.6655 0.8955
O: 0.3345 0.1045 0.8110
O: 0.6655 0.8955 0.1890
O: 0.8110 0.3345 0.1045
O: 0.8955 0.1890 0.6655